1.
# CrAs2Rh PBE optimized geometry
data_CrAs2Rh
_chemical_formula_sum 'Cr3 As6 Rh3'
_symmetry_space_group_name_H-M 'R -3 m'
_symmetry_Int_Tables_number 166
_symmetry_space_group_name_Hall '-R 3 2"'
_cell_length_a 2.9961
_cell_length_b 2.9961
_cell_length_c 22.6513
_cell_angle_alpha 90.00
_cell_angle_beta 90.00
_cell_angle_gamma 120.00
loop_
_atom_site_label
_atom_site_type_symbol
_atom_site_fract_x
_atom_site_fract_y
_atom_site_fract_z
_atom_site_occupancy
Cr1 Cr 0.0000 0.0000 0.0000 1
As1 As 0.0000 0.0000 0.2542 1
Rh1 Rh 0.0000 0.0000 0.5000 1
# * ΔE_f: -0.007 eV/atom
# * total magnetization: 2.69 Bohr magnetons per cell
# * calculated density: 8.6 g/cm³
# * crystal system: trigonal

=====

2.
# Rb2TaHg PBE optimized geometry
data_Rb2TaHg
_chemical_formula_sum 'Rb8 Ta4 Hg4'
_symmetry_space_group_name_H-M 'I -4 2 d'
_symmetry_Int_Tables_number 122
_symmetry_space_group_name_Hall 'I -4 2bw'
_cell_length_a 12.767
_cell_length_b 12.767
_cell_length_c 5.448
_cell_angle_alpha 90.00
_cell_angle_beta 90.00
_cell_angle_gamma 90.00
loop_
_atom_site_label
_atom_site_type_symbol
_atom_site_fract_x
_atom_site_fract_y
_atom_site_fract_z
_atom_site_occupancy
Rb1 Rb 0.102 0.250 0.125 1
Ta1 Ta 0.000 0.000 0.500 1
Hg1 Hg 0.000 0.000 0.000 1
# * ΔE_f: 1.200 eV/atom
# * total magnetization: 13.89 Bohr magnetons per cell
# * calculated density: 4.1 g/cm³
# * crystal system: tetragonal

=====

What did the second record say?
# Rb2TaHg PBE optimized geometry
data_Rb2TaHg
_chemical_formula_sum 'Rb8 Ta4 Hg4'
_symmetry_space_group_name_H-M 'I -4 2 d'
_symmetry_Int_Tables_number 122
_symmetry_space_group_name_Hall 'I -4 2bw'
_cell_length_a 12.767
_cell_length_b 12.767
_cell_length_c 5.448
_cell_angle_alpha 90.00
_cell_angle_beta 90.00
_cell_angle_gamma 90.00
loop_
_atom_site_label
_atom_site_type_symbol
_atom_site_fract_x
_atom_site_fract_y
_atom_site_fract_z
_atom_site_occupancy
Rb1 Rb 0.102 0.250 0.125 1
Ta1 Ta 0.000 0.000 0.500 1
Hg1 Hg 0.000 0.000 0.000 1
# * ΔE_f: 1.200 eV/atom
# * total magnetization: 13.89 Bohr magnetons per cell
# * calculated density: 4.1 g/cm³
# * crystal system: tetragonal